# 1
The following is a GGA-PBE calculation of a relaxed structure of La2ZrB2, from OQMD via LeMat-Bulk.

Values from the calculation:
DFT total energy (eV per atom): -5.17

Geometry as POSCAR:
```
La2ZrB2
1.0
-2.9764 -8.2670 1.9730
-4.6874 -3.3946 6.8993
0.7877 6.5133 -6.1685
B La Zr
4 4 2
Direct
0.3750 0.6250 0.7500
0.3750 0.1250 0.7500
0.3750 0.6250 0.2500
0.8750 0.6250 0.2500
0.5587 0.0587 0.5000
0.8087 0.8087 0.0000
0.9413 0.4413 0.5000
0.1913 0.1913 0.0000
0.0000 0.0000 0.0000
0.7500 0.2500 0.5000
```



# 2
The following is a GGA-PBE calculation of a relaxed structure of Na2Sc2Al2CuPt, from OQMD via LeMat-Bulk.

Values from the calculation:
DFT total energy (eV per atom): -4.35

Geometry as POSCAR:
```
Na2Sc2Al2CuPt
1.0
4.6229 0.0000 0.0000
0.0000 4.6229 0.0000
0.0000 0.0000 6.5373
Al Pt Na Sc Cu
2 1 2 2 1
Direct
0.5000 0.0000 0.7476
0.0000 0.5000 0.2524
0.5000 0.5000 0.5000
0.5000 0.5000 0.0000
0.0000 0.0000 0.5000
0.5000 0.0000 0.2498
0.0000 0.5000 0.7502
0.0000 0.0000 0.0000
```